PmBe2Si2Tc | the Alexandria database | PBE | relaxed; raw total energy = -5.9692 eV/atom; E_form (uncorrected) = -2.40 eV/f.u.; symmetry = P-3m1
1.0
3.8967 0.0000 0.0000
-1.9484 3.3747 0.0000
0.0000 0.0000 6.8103
Pm Be Si Tc
1 2 2 1
Cartesian
0.0000 0.0000 0.0000 Pm
0.0000 2.2498 2.2984 Be
1.9484 1.1249 4.5119 Be
0.0000 2.2498 4.8043 Si
1.9484 1.1249 2.0060 Si
0.0000 0.0000 3.4052 Tc